#A
NiAsRuBr2 | PBE | optimized geometry

Properties
total magnetization	2.5	μB per formula unit
crystal system	tetragonal

a = 4.9344 Å, b = 4.9344 Å, c = 4.5486 Å
α = 90.00°, β = 90.00°, γ = 90.00°
Fractional positions:
Ru 0.5000 0.5000 0.5000
As 0.0000 0.0000 0.5000
Br 0.0000 0.5000 0.0000
Br 0.5000 0.0000 0.0000
Ni 0.0000 0.0000 0.0000

#B
NiAsRuBr2 | PBE | optimized geometry

Properties
total magnetization	1.2	μB per formula unit
crystal system	tetragonal

a = 5.1947 Å, b = 5.1947 Å, c = 4.6081 Å
α = 90.00°, β = 90.00°, γ = 90.00°
Fractional positions:
Ru 0.0000 0.0000 0.0000
As 0.0000 0.0000 0.5000
Br 0.0000 0.5000 0.0000
Br 0.5000 0.0000 0.0000
Ni 0.5000 0.5000 0.5000

Order of stability, best first: #B, #A

#A
NiSbAs2Br | PBE | optimized geometry

Properties
total magnetization	0.0	μB per formula unit
crystal system	tetragonal

a = 4.7651 Å, b = 4.7651 Å, c = 4.7745 Å
α = 90.00°, β = 90.00°, γ = 90.00°
Fractional positions:
Sb 0.5000 0.5000 0.5000
As 0.0000 0.5000 0.0000
As 0.5000 0.0000 0.0000
Br 0.0000 0.0000 0.5000
Ni 0.0000 0.0000 0.0000

#B
NiSbAs2Br | PBE | optimized geometry

Properties
total magnetization	1.9	μB per formula unit
crystal system	tetragonal

a = 5.3222 Å, b = 5.3222 Å, c = 5.4683 Å
α = 90.00°, β = 90.00°, γ = 90.00°
Fractional positions:
Sb 0.0000 0.0000 0.0000
As 0.0000 0.5000 0.0000
As 0.5000 0.0000 0.0000
Br 0.0000 0.0000 0.5000
Ni 0.5000 0.5000 0.5000

Order of stability, best first: #A, #B

#A
NiAsSeBr2 | PBE | optimized geometry

Properties
total magnetization	0.0	μB per formula unit
crystal system	tetragonal

a = 4.7489 Å, b = 4.7489 Å, c = 4.9001 Å
α = 90.00°, β = 90.00°, γ = 90.00°
Fractional positions:
Ni 0.0000 0.0000 0.0000
As 0.5000 0.5000 0.5000
Se 0.0000 0.0000 0.5000
Br 0.0000 0.5000 0.0000
Br 0.5000 0.0000 0.0000

#B
NiAsSeBr2 | PBE | optimized geometry

Properties
total magnetization	0.0	μB per formula unit
crystal system	tetragonal

a = 4.7604 Å, b = 4.7604 Å, c = 4.8732 Å
α = 90.00°, β = 90.00°, γ = 90.00°
Fractional positions:
Ni 0.0000 0.0000 0.0000
As 0.0000 0.0000 0.5000
Se 0.5000 0.5000 0.5000
Br 0.0000 0.5000 0.0000
Br 0.5000 0.0000 0.0000

Order of stability, best first: #A, #B

#A
TaNiAs2Br | PBE | optimized geometry

Properties
total magnetization	1.5	μB per formula unit
crystal system	tetragonal

a = 4.5842 Å, b = 4.5842 Å, c = 4.7128 Å
α = 90.00°, β = 90.00°, γ = 90.00°
Fractional positions:
Ni 0.0000 0.0000 0.0000
As 0.0000 0.5000 0.0000
As 0.5000 0.0000 0.0000
Br 0.0000 0.0000 0.5000
Ta 0.5000 0.5000 0.5000

#B
TaNiAs2Br | PBE | optimized geometry

Properties
total magnetization	1.1	μB per formula unit
crystal system	tetragonal

a = 5.0150 Å, b = 5.0150 Å, c = 5.0880 Å
α = 90.00°, β = 90.00°, γ = 90.00°
Fractional positions:
Ni 0.5000 0.5000 0.5000
As 0.0000 0.5000 0.0000
As 0.5000 0.0000 0.0000
Br 0.0000 0.0000 0.5000
Ta 0.0000 0.0000 0.0000

Order of stability, best first: #B, #A